[1]
Entry from Alexandria: a geometry-optimized LiZrBr structure (PBE).

Values from the calculation:
- energy (eV/atom) = -4.29
- Fermi-level density of states (states/eV per atom) = 0.949
- total magnetization (μB per cell) = 0.85
- energy above the lowest structure with this stoichiometry (eV per atom) = 0.500
- formation energy without anion corrections (eV per formula unit) = -0.7

Lattice parameters (Å, degrees): 3.2563 3.2563 12.6149 90.00 90.00 90.00
Atoms (fractional coordinates):
Li 0.0000 0.0000 0.0000
Li 0.5000 0.5000 0.5000
Zr 0.0000 0.0000 0.6859
Zr 0.5000 0.5000 0.1859
Br 0.0000 0.0000 0.3255
Br 0.5000 0.5000 0.8255


[2]
Entry from Alexandria: a geometry-optimized LaMg2I structure (PBE).

Values from the calculation:
- energy (eV/atom) = -2.55
- Fermi-level density of states (states/eV per atom) = 1.056
- total magnetization (μB per cell) = 0.00
- energy above the lowest structure with this stoichiometry (eV per atom) = 0.000
- formation energy without anion corrections (eV per formula unit) = -0.5

Lattice parameters (Å, degrees): 9.0452 9.0452 6.3657 90.00 90.00 90.00
Atoms (fractional coordinates):
La 0.0000 0.0000 0.0000
La 0.0000 0.5000 0.2500
La 0.5000 0.0000 0.7500
La 0.5000 0.5000 0.5000
Mg 0.2270 0.2500 0.6250
Mg 0.2500 0.7270 0.8750
Mg 0.2500 0.7730 0.3750
Mg 0.2730 0.2500 0.1250
Mg 0.7270 0.7500 0.1250
Mg 0.7500 0.2270 0.3750
Mg 0.7500 0.2730 0.8750
Mg 0.7730 0.7500 0.6250
I 0.0000 0.0000 0.5000
I 0.0000 0.5000 0.7500
I 0.5000 0.0000 0.2500
I 0.5000 0.5000 0.0000